VASP calculation (PBE-GGA) on crystalline Pr8Nd4Tm3 at its relaxed geometry.

Properties
Its formation energy is 0.31 eV/atom. As for the total energy: -4.407 eV/atom.

Lattice parameters (Å, degrees): 14.1354 12.3900 6.9228 90.00 119.14 90.00
Space group C2/m (No. 12)
Unique sites:
Pr  0.0000  0.2011  0.0000 [4 per cell]
Pr  0.0000  0.2516  0.5000 [4 per cell]
Pr  0.2009  0.0000  0.1727 [4 per cell]
Pr  0.2476  0.5000  0.2910 [4 per cell]
Nd  0.0000  0.5000  0.0000 [2 per cell]
Nd  0.0000  0.5000  0.5000 [2 per cell]
Nd  0.2500  0.2500  0.0000 [4 per cell]
Tm  0.0000  0.0000  0.5000 [2 per cell]
Tm  0.2500  0.2500  0.5000 [4 per cell]